Compound: Mg2VRuO6
Source: Alexandria
Functional: PBE with a Hubbard U
Structure: relaxed

## Properties
Fermi-level density of states in states/eV/cell: 0.526
E in eV/atom: -6.658
Crystal system: tetragonal
Volume in Å³/atom: 12.4

Unit cell a=3.8048 b=5.7042 c=5.7042 alpha=90.00 beta=90.00 gamma=90.00
Fractional positions:
Mg1 0.8388 0.5000 0.0000
Mg2 0.8388 0.0000 0.5000
V1 0.6559 0.0000 0.0000
Ru1 0.7150 0.5000 0.5000
O1 0.7423 0.2452 0.2452
O2 0.7423 0.2452 0.7548
O3 0.2193 0.5000 0.5000
O4 0.2098 0.0000 0.0000
O5 0.7423 0.7548 0.7548
O6 0.7423 0.7548 0.2452